[1]
This record from Alexandria via LeMat-Bulk describes a relaxed structure of KNa4Bi. The functional is PBE.

Summary:
E_tot   -1.811 eV/atom
Symmetry   F-43m
DFT formation energy   -102 meV per atom
M_tot   0.0 μB per formula unit

Unit cell a=6.642 b=6.642 c=6.642 alpha=60.00 beta=60.00 gamma=60.00
Element x y z (fractional)
Na1 0.625 0.625 0.124
Na2 0.625 0.124 0.625
Na3 0.625 0.625 0.625
Na4 0.124 0.625 0.625
K1 0.250 0.250 0.250
Bi1 0.000 0.000 0.000

[2]
This record from Alexandria via LeMat-Bulk describes a relaxed structure of RbPuTe2O8. The functional is PBE.

Summary:
Energy relative to the elements, uncorrected   -17.86 eV per formula unit
E_tot   -6.593 eV/atom
Symmetry   P-3
M_tot   1.0 μB per formula unit

Unit cell a=6.192 b=6.192 c=7.934 alpha=90.00 beta=90.00 gamma=120.00
Each line ends with the local moment (μB).
Element x y z (fractional)
Rb1 0.000 0.000 0.000  0.00
Pu1 0.000 0.000 0.500  1.49
Te1 0.667 0.333 0.340  -0.01
Te2 0.333 0.667 0.660  -0.01
O1 0.333 0.667 0.888  -0.02
O2 0.288 0.246 0.355  -0.07
O3 0.754 0.042 0.355  -0.07
O4 0.667 0.333 0.112  -0.02
O5 0.246 0.958 0.645  -0.07
O6 0.712 0.754 0.645  -0.07
O7 0.042 0.288 0.645  -0.07
O8 0.958 0.712 0.355  -0.07

[3]
This record from Alexandria via LeMat-Bulk describes a relaxed structure of PrNdSbAs. The functional is PBE.

Summary:
Energy relative to the elements, uncorrected   -5.22 eV per formula unit
E_tot   -5.885 eV/atom
Symmetry   P4/mmm
M_tot   0.0 μB per formula unit

Unit cell a=4.420 b=4.420 c=6.263 alpha=90.01 beta=90.00 gamma=90.00
Element x y z (fractional)
Pr1 0.500 0.392 0.592
Nd1 0.000 0.891 0.092
Sb1 0.500 0.391 0.092
As1 0.000 0.892 0.592

[4]
This record from Alexandria via LeMat-Bulk describes a relaxed structure of MgAl2Tl. The functional is PBE.

Summary:
E_tot   -2.636 eV/atom
Symmetry   F-43m
DFT formation energy   225 meV per atom
M_tot   0.0 μB per formula unit

Unit cell a=4.968 b=4.968 c=4.968 alpha=60.00 beta=60.00 gamma=60.00
Element x y z (fractional)
Al1 0.000 0.000 0.000
Al2 0.250 0.250 0.250
Mg1 0.500 0.500 0.500
Tl1 0.750 0.750 0.750